DFT (PBE) results for an optimized crystal structure of Cr3Pt.

Cell: 5.2091 5.2091 4.0215 Å, 90.00 90.00 109.55°
With the nearest neighbours (Å) after each atom.
Atoms (fractional coordinates):
Cr 0.1043 0.2861 0.7500  6 Cr 2.35-2.54, 1 Pt 2.58
Cr 0.1593 0.8407 0.7500  6 Cr 2.40-2.43
Cr 0.2861 0.1043 0.2500  6 Cr 2.35-2.54, 1 Pt 2.58
Cr 0.7139 0.8957 0.7500  6 Cr 2.35-2.54, 1 Pt 2.58
Cr 0.8407 0.1593 0.2500  6 Cr 2.40-2.43
Cr 0.8957 0.7139 0.2500  6 Cr 2.35-2.54, 1 Pt 2.58
Pt 0.3771 0.6229 0.2500  10 Cr 2.58-2.73
Pt 0.6229 0.3771 0.7500  10 Cr 2.58-2.73

Magnetization   0.000 μB per cell
DOS(E_F)   5.917 states/eV per cell
Calculated total energy   -8.744 eV/atom
Symmetry   Cmcm